(1)
11
Lattice="3.660 0.000 0.000 1.830 10.922 0.912 1.830 5.981 9.184" Properties=species:S:1:pos:R:3 comment="PBE Nd2Er7Tl2, optimized geometry" spacegroup=Imm2 delta_e_f_mev_per_atom=-9 pbc="T T T"
Nd 1.830 9.620 3.092
Nd 3.660 7.961 5.870
Er 3.660 2.192 2.536
Er 5.490 9.497 8.400
Er 3.660 6.256 8.725
Er 3.660 6.554 3.036
Er 3.660 11.124 5.765
Er 3.660 13.632 9.368
Er 1.830 5.005 5.717
Tl 5.490 13.335 6.790
Tl 1.830 4.603 1.575

(2)
18
Lattice="5.395 0.000 0.000 -2.697 11.004 0.000 0.000 0.000 10.244" Properties=species:S:1:pos:R:3 comment="PBE TbNd5Y2Sc, optimized geometry" spacegroup=Cmc2_1 delta_e_f_mev_per_atom=122 pbc="T T T"
Tb 2.697 2.230 0.083
Tb 0.000 8.774 5.205
Nd 0.000 8.233 0.083
Nd 2.697 4.873 8.413
Nd 2.697 0.002 7.765
Nd 0.000 6.138 7.127
Nd 0.000 0.019 5.205
Nd 2.697 2.771 5.205
Nd 0.000 6.131 3.291
Nd 0.000 11.002 2.643
Nd 2.697 4.866 2.005
Nd 2.697 10.985 0.083
Y 2.697 8.453 7.749
Y 0.000 2.557 7.782
Y 0.000 2.551 2.627
Y 2.697 8.447 2.660
Sc 2.697 6.276 5.209
Sc 0.000 4.728 0.087

(3)
8
Lattice="9.083 0.000 0.000 0.000 9.083 0.000 4.542 4.542 2.661" Properties=species:S:1:pos:R:3 comment="PBE Na2ZrAs, optimized geometry" spacegroup=I-42d delta_e_f_mev_per_atom=182 pbc="T T T"
Na 6.197 2.271 0.665
Na 2.886 6.812 0.665
Na 6.812 7.428 1.996
Na 11.354 10.739 1.996
As 4.542 4.542 0.000
As 4.542 9.083 1.330
Zr 0.000 0.000 0.000
Zr 9.083 4.542 1.330

(4)
4
Lattice="4.875 0.000 0.000 2.437 4.222 0.000 2.437 1.407 3.980" Properties=species:S:1:pos:R:3 comment="PBE HoTiAlAg, optimized geometry" spacegroup=F-43m delta_e_f_mev_per_atom=-133 pbc="T T T"
Al 2.437 1.407 0.995
Ho 0.000 0.000 0.000
Ag 7.312 4.222 2.985
Ti 4.875 2.814 1.990

(5)
4
Lattice="-2.918 0.159 -1.109 -0.987 -1.831 2.334 -0.989 4.711 3.277" Properties=species:S:1:pos:R:3 comment="PBE Cr2TcPt, optimized geometry" spacegroup=P4/mmm delta_e_f_mev_per_atom=10 pbc="T T T"
Cr -0.979 4.666 3.246
Cr -0.504 2.400 1.669
Pt -2.200 0.342 1.432
Tc -2.694 2.697 3.070

(6)
4
Lattice="5.455 0.000 -0.008 4.629 2.887 -0.008 0.867 0.248 5.134" Properties=species:S:1:pos:R:3 comment="PBE LiZr2Al, optimized geometry" spacegroup=C2/m delta_e_f_mev_per_atom=-10 pbc="T T T"
Al 8.213 2.352 3.839
Li 2.738 0.784 1.280
Zr 0.926 0.265 5.069
Zr 5.416 1.551 2.625

(7)
8
Lattice="-0.751 0.995 3.631 -3.197 -2.125 -0.079 5.987 -5.567 0.735" Properties=species:S:1:pos:R:3 comment="PBE CrPt2Rh5, optimized geometry" spacegroup=I4/mmm delta_e_f_mev_per_atom=-112 pbc="T T T"
Cr 0.000 0.000 0.000
Pt 0.014 -3.603 3.020
Pt 2.025 -3.094 1.267
Rh -1.974 -0.565 1.776
Rh 1.464 -5.743 1.877
Rh 2.687 -4.183 3.732
Rh 0.574 -0.953 2.410
Rh -0.649 -2.513 0.554

(8)
6
Lattice="5.098 -0.091 -0.067 2.074 4.658 -0.067 2.074 1.321 4.467" Properties=species:S:1:pos:R:3 comment="PBE Na2AsPd3, optimized geometry" spacegroup=R-3m delta_e_f_mev_per_atom=-434 pbc="T T T"
Na 3.490 2.222 1.636
Na 5.756 3.665 2.697
As 0.000 0.000 0.000
Pd 1.037 0.660 2.234
Pd 2.549 -0.046 -0.034
Pd 1.037 2.329 -0.034

The E results, record by record, are as follows: -4.209 -5.181 -3.777 -4.900 -8.903 -5.698 -7.420 -4.245 eV per atom.
The spin magnetization results, record by record, are as follows: 0.00 0.00 1.98 1.38 4.57 0.00 0.58 0.00 μB per cell.